# YCu, relaxed, DFT PBE
# Energy of formation, eV per atom: -0.10
# Magnetization, μB/cell: 0.516
data_YCu
_chemical_formula_sum 'Y2 Cu2'
_cell_length_a 3.4645
_cell_length_b 3.4645
_cell_length_c 7.2449
_cell_angle_alpha 90.00
_cell_angle_beta 90.00
_cell_angle_gamma 90.00
_space_group_name_H-M_alt 'P 4/n m m'
_space_group_IT_number 129
loop_
_space_group_symop_operation_xyz
'x,y,z'
'-x,-y,-z'
'-y+1/2,x,z'
'y+1/2,-x,-z'
'-x+1/2,-y+1/2,z'
'x+1/2,y+1/2,-z'
'y,-x+1/2,z'
'-y,x+1/2,-z'
'x+1/2,-y,-z'
'-x+1/2,y,z'
'-y,-x,-z'
'y,x,z'
'-x,y+1/2,-z'
'x,-y+1/2,z'
'y+1/2,x+1/2,-z'
'-y+1/2,-x+1/2,z'
loop_
_atom_site_label
_atom_site_fract_x
_atom_site_fract_y
_atom_site_fract_z
_atom_site_occupancy
Y1 0.2500 0.2500 0.1860 1
Cu1 0.2500 0.2500 0.5785 1


# EuBeP, relaxed, DFT PBE
# Energy of formation, eV per atom: -0.84
# Magnetization, μB/cell: 7.277
data_EuBeP
_chemical_formula_sum 'Eu1 Be1 P1'
_cell_length_a 3.7635
_cell_length_b 3.7635
_cell_length_c 4.3855
_cell_angle_alpha 90.00
_cell_angle_beta 90.00
_cell_angle_gamma 120.00
_space_group_name_H-M_alt 'P -6 m 2'
_space_group_IT_number 187
_space_group_name_Hall 'P -6 2'
loop_
_atom_site_label
_atom_site_fract_x
_atom_site_fract_y
_atom_site_fract_z
_atom_site_occupancy
Eu1 0.0000 0.0000 0.0000 1
Be1 0.6667 0.3333 0.5000 1
P1 0.3333 0.6667 0.5000 1


# Zn2CoOs, relaxed, DFT PBE
# Energy of formation, eV per atom: 0.23
# Magnetization, μB/cell: 1.743
# Relative energy among the computed polymorphs, meV per atom: 163
data_Zn2CoOs
_chemical_formula_sum 'Zn2 Co1 Os1'
_cell_length_a 2.5900
_cell_length_b 3.9096
_cell_length_c 5.2871
_cell_angle_alpha 90.00
_cell_angle_beta 90.00
_cell_angle_gamma 90.00
_space_group_name_H-M_alt 'P m m m'
_space_group_IT_number 47
loop_
_space_group_symop_operation_xyz
'x,y,z'
'-x,-y,-z'
'-x,-y,z'
'x,y,-z'
'x,-y,-z'
'-x,y,z'
'-x,y,-z'
'x,-y,z'
loop_
_atom_site_label
_atom_site_fract_x
_atom_site_fract_y
_atom_site_fract_z
_atom_site_occupancy
Zn1 0.0000 0.0000 0.2422 1
Co1 0.5000 0.5000 0.0000 1
Os1 0.5000 0.5000 0.5000 1


# UCr2PN, relaxed, DFT PBE
# E_form (uncorrected), eV/atom: -0.838
# Magnetization, μB/cell: 5.399
data_UCr2PN
_chemical_formula_sum 'U4 Cr8 P4 N4'
_cell_length_a 3.3052
_cell_length_b 10.8900
_cell_length_c 7.1849
_cell_angle_alpha 90.00
_cell_angle_beta 90.00
_cell_angle_gamma 90.00
_space_group_name_H-M_alt 'C m c m'
_space_group_IT_number 63
_space_group_name_Hall '-C 2c 2'
loop_
_atom_site_label
_atom_site_fract_x
_atom_site_fract_y
_atom_site_fract_z
_atom_site_occupancy
U1 0.0000 0.0366 0.2500 1
Cr1 0.0000 0.3286 0.0554 1
P1 0.0000 0.2429 0.7500 1
N1 0.0000 0.5000 0.0000 1


Across the entries above, uncorrected energy takes the values -21.5; -21.9; -20.0; -193.8 eV/cell, respectively.